[1]
Entry from the Alexandria database: a relaxed MnTlOs2 crystal (PBE-GGA).

ΔE to the lowest computed polymorph in kJ/mol of formula units: 151
Space group: No. 216
DFT formation energy in meV/atom: 876
Volume in Å³/atom: 16.13

Cell and atoms, written as POSCAR:
```
MnTlOs2
1.0
0.000 3.184 3.184
3.184 0.000 3.184
3.184 3.184 0.000
Mn Tl Os
1 1 2
Direct
0.000 0.000 0.000 Mn
0.250 0.250 0.250 Tl
0.500 0.500 0.500 Os
0.750 0.750 0.750 Os
```

***

[2]
Entry from the Alexandria database: a relaxed Pu3HAu crystal (PBE-GGA).

ΔE to the lowest computed polymorph in kJ/mol of formula units: 15
Space group: No. 2
Volume in Å³/atom: 20.43

Cell and atoms, written as POSCAR:
```
Pu3HAu
1.0
3.536 0.000 0.000
0.000 5.287 0.000
1.768 1.672 10.931
Pu H Au
6 2 2
Direct
0.049 0.281 0.403 Pu
0.180 0.859 0.139 Pu
0.319 0.638 0.861 Pu
0.681 0.362 0.139 Pu
0.820 0.141 0.861 Pu
0.951 0.719 0.597 Pu
0.252 0.246 0.997 H
0.748 0.754 0.003 H
0.431 0.206 0.638 Au
0.569 0.794 0.362 Au
```

***

[3]
Entry from the Alexandria database: a relaxed SrTlBiPd2 crystal (PBE-GGA).

Space group: No. 123
DFT formation energy in meV/atom: 278
Volume in Å³/atom: 31.44

Cell and atoms, written as POSCAR:
```
SrTlBiPd2
1.0
5.115 0.000 0.000
0.000 5.115 0.000
0.000 0.000 6.009
Sr Tl Bi Pd
1 1 1 2
Direct
0.000 0.000 0.000 Sr
0.000 0.000 0.500 Tl
0.500 0.500 0.000 Bi
0.000 0.500 0.500 Pd
0.500 0.000 0.500 Pd
```

***

[4]
Entry from the Alexandria database: a relaxed SnGeBiO6 crystal (PBE-GGA).

Uncorrected formation energy in meV per atom: -1373
Space group: No. 163
Volume in Å³/atom: 12.74

Cell and atoms, written as POSCAR:
```
SnGeBiO6
1.0
5.275 0.000 0.000
-2.637 4.568 0.000
0.000 0.000 9.516
Sn Ge Bi O
2 2 2 12
Direct
0.333 0.667 0.250 Sn
0.667 0.333 0.750 Sn
0.333 0.667 0.750 Ge
0.667 0.333 0.250 Ge
0.000 0.000 0.000 Bi
0.000 0.000 0.500 Bi
0.022 0.372 0.637 O
0.022 0.650 0.863 O
0.350 0.372 0.863 O
0.350 0.978 0.637 O
0.372 0.022 0.137 O
0.372 0.350 0.363 O
0.628 0.650 0.637 O
0.628 0.978 0.863 O
0.650 0.022 0.363 O
0.650 0.628 0.137 O
0.978 0.350 0.137 O
0.978 0.628 0.363 O
```